Run i
A plane-wave DFT calculation with PBE with a Hubbard U was carried out for an optimized crystal structure of CrCo2F.

```
data_CrCo2F
_cell_length_a 6.997
_cell_length_b 6.997
_cell_length_c 4.573
_cell_angle_alpha 90.00
_cell_angle_beta 90.00
_cell_angle_gamma 90.00
_space_group_name_H-M_alt 'I -4 2 d'
_space_group_IT_number 122
_space_group_name_Hall 'I -4 2bw'
loop_
_atom_site_label
_atom_site_type_symbol
_atom_site_fract_x
_atom_site_fract_y
_atom_site_fract_z
_atom_site_occupancy
Cr1 Cr 0.000 0.000 0.000 1
Co1 Co 0.183 0.250 0.625 1
F1 F 0.000 0.000 0.500 1
```

N(E_F) = 1.3 states/eV/f.u.


Run ii
A plane-wave DFT calculation with PBE with a Hubbard U was carried out for an optimized crystal structure of CrCo2F.

```
data_CrCo2F
_cell_length_a 6.056
_cell_length_b 6.056
_cell_length_c 6.056
_cell_angle_alpha 90.00
_cell_angle_beta 90.00
_cell_angle_gamma 90.00
_space_group_name_H-M_alt 'F m -3 m'
_space_group_IT_number 225
_space_group_name_Hall '-F 4 2 3'
loop_
_atom_site_label
_atom_site_type_symbol
_atom_site_fract_x
_atom_site_fract_y
_atom_site_fract_z
_atom_site_occupancy
Cr1 Cr 0.000 0.000 0.000 1
Co1 Co 0.250 0.250 0.250 1
F1 F 0.000 0.000 0.500 1
```

N(E_F) = 2.8 states/eV/f.u.


Energies, relative to the best one, in meV per atom: run i 0; run ii 562.


Run i
A plane-wave DFT calculation with PBE with a Hubbard U was carried out for an optimized crystal structure of CrCo3F.

```
data_CrCo3F
_cell_length_a 4.801
_cell_length_b 4.801
_cell_length_c 4.801
_cell_angle_alpha 90.00
_cell_angle_beta 90.00
_cell_angle_gamma 90.00
_space_group_name_H-M_alt 'P m -3 m'
_space_group_IT_number 221
_space_group_name_Hall '-P 4 2 3'
loop_
_atom_site_label
_atom_site_type_symbol
_atom_site_fract_x
_atom_site_fract_y
_atom_site_fract_z
_atom_site_occupancy
Cr1 Cr 0.000 0.000 0.000 1
Co1 Co 0.000 0.000 0.500 1
F1 F 0.500 0.500 0.500 1
```

N(E_F) = 2.0 states/eV/f.u.


Run ii
A plane-wave DFT calculation with PBE with a Hubbard U was carried out for an optimized crystal structure of CrCo3F.

```
data_CrCo3F
_cell_length_a 4.203
_cell_length_b 4.203
_cell_length_c 4.203
_cell_angle_alpha 90.00
_cell_angle_beta 90.00
_cell_angle_gamma 90.00
_space_group_name_H-M_alt 'P m -3 m'
_space_group_IT_number 221
_space_group_name_Hall '-P 4 2 3'
loop_
_atom_site_label
_atom_site_type_symbol
_atom_site_fract_x
_atom_site_fract_y
_atom_site_fract_z
_atom_site_occupancy
Cr1 Cr 0.000 0.000 0.000 1
Co1 Co 0.000 0.500 0.500 1
F1 F 0.500 0.500 0.500 1
```

N(E_F) = 4.2 states/eV/f.u.


Energies, relative to the best one, in meV per atom: run i 934; run ii 0.